# 1
A relaxed KHg3P crystal. Source: Alexandria, functional PBE.

a b c (Å): 6.1231 6.5775 8.4057
angles (deg): 74.45 69.29 82.50
Fractional coordinates of all 10 atoms:
K 0.0000 0.0000 0.0000
K 0.1055 0.6192 0.6472
Hg 0.3999 0.9998 0.2044
Hg 0.4479 0.1161 0.5971
Hg 0.5483 0.3635 0.8499
Hg 0.6175 0.4608 0.1800
Hg 0.6946 0.7180 0.4482
Hg 0.9832 0.1701 0.4771
P 0.0631 0.4751 0.0639
P 0.1796 0.5653 0.2500

Space group: No. 1
Energy above the lowest structure with this stoichiometry in eV/f.u.: 0.05
Energy relative to the elements in eV/atom: -0.131


# 2
A relaxed Na3Sb2Au4 crystal. Source: Alexandria, functional PBE.

a b c (Å): 5.8312 5.8312 9.0258
angles (deg): 98.17 98.17 48.77
Fractional coordinates of all 9 atoms:
Na 0.0000 0.0000 0.0000
Na 0.3805 0.3805 0.6158
Na 0.6195 0.6195 0.3842
Sb 0.3129 0.3129 0.2303
Sb 0.6871 0.6871 0.7697
Au 0.0846 0.0846 0.6286
Au 0.2674 0.2674 0.9154
Au 0.7326 0.7326 0.0846
Au 0.9154 0.9154 0.3714

Space group: No. 12


# 3
A relaxed GaSiNiOs crystal. Source: Alexandria, functional PBE.

a b c (Å): 4.9906 4.9906 4.9906
angles (deg): 45.02 45.02 45.02
Fractional coordinates of all 4 atoms:
Ga 0.0000 0.0000 0.0000
Si 0.8125 0.8125 0.8125
Ni 0.4154 0.4154 0.4154
Os 0.2135 0.2135 0.2135

Space group: No. 160
Energy above the lowest structure with this stoichiometry in eV/f.u.: 0.29


# 4
A relaxed LiBiC2O6 crystal. Source: Alexandria, functional PBE.

a b c (Å): 6.1219 6.1219 6.1219
angles (deg): 47.69 47.69 47.69
Fractional coordinates of all 10 atoms:
Li 0.0000 0.0000 0.0000
Bi 0.5000 0.5000 0.5000
C 0.2530 0.2530 0.2530
C 0.7470 0.7470 0.7470
O 0.0089 0.2178 0.5305
O 0.2178 0.5305 0.0089
O 0.4695 0.9911 0.7822
O 0.5305 0.0089 0.2178
O 0.7822 0.4695 0.9911
O 0.9911 0.7822 0.4695

Space group: No. 148


# 5
A relaxed Cd3ClO crystal. Source: Alexandria, functional PBE.

a b c (Å): 4.8014 4.8014 4.8014
angles (deg): 90.00 90.00 90.00
Fractional coordinates of all 5 atoms:
Cd 0.0000 0.0000 0.5000
Cd 0.0000 0.5000 0.0000
Cd 0.5000 0.0000 0.0000
Cl 0.5000 0.5000 0.5000
O 0.0000 0.0000 0.0000

Space group: No. 221


# 6
A relaxed LiAc2TlO5 crystal. Source: Alexandria, functional PBE.

a b c (Å): 7.5700 7.5700 10.1014
angles (deg): 90.00 90.00 151.76
Fractional coordinates of all 18 atoms:
Li 0.2321 0.7679 0.5000
Li 0.7679 0.2321 0.0000
Ac 0.1182 0.8818 0.8310
Ac 0.1355 0.8645 0.2057
Ac 0.8645 0.1355 0.7057
Ac 0.8818 0.1182 0.3310
Tl 0.4214 0.5786 0.0146
Tl 0.5786 0.4214 0.5146
O 0.0233 0.9767 0.5956
O 0.2943 0.7057 0.8775
O 0.3125 0.6875 0.1827
O 0.3554 0.6446 0.5302
O 0.4865 0.5135 0.8148
O 0.5135 0.4865 0.3148
O 0.6446 0.3554 0.0302
O 0.6875 0.3125 0.6827
O 0.7057 0.2943 0.3775
O 0.9767 0.0233 0.0956

Space group: No. 36


no.,electronic total energy (eV/atom),total magnetic moment (μB/f.u.)
1,-1.6139,0.0
2,-3.1012,0.0
3,-6.5604,0.0
4,-6.9128,0.0
5,-2.1744,0.0
6,-6.4528,0.0